A relaxed ScTeBrO4 crystal. Source: the Alexandria database, functional PBE.

a = 10.3987 Å, b = 6.8653 Å, c = 6.8660 Å
α = 90.00°, β = 107.77°, γ = 90.00°
Last column: nearest neighbours and their distance in Å.
Space group C2/m (No. 12)
Inequivalent atoms, fractional coordinates:
Sc  0.2306  0.0000  0.1235 [4 per cell]  4 O 2.13-2.19
Te  0.1328  0.5000  0.2656 [4 per cell]  4 O 1.82-1.87
Br  0.9998  0.0000  0.2408 [4 per cell]  2 Sc 2.75-2.89, 1 O 3.08
O  0.0517  0.5000  0.8273 [4 per cell]  1 Te 1.83
O  0.1931  0.5000  0.5433 [4 per cell]  1 Te 1.82
O  0.2139  0.3064  0.1522 [8 per cell]  1 Te 1.87

The total DFT energy (no corrections) comes out at -5.939 eV per atom.